Density functional theory data (PBE) for a geometry-optimized FeCuTe2 structure.

a b c (Å): 4.3385 4.3385 6.6460
angles (deg): 75.75 75.75 48.98
Last column: nearest neighbours and their distance in Å.
Positions (direct):
Te (0.7452, 0.7452, 0.6301)  3 Cu 2.49-2.72
Te (0.9974, 0.9974, 0.1101)  3 Fe 2.69, 2 Cu 2.93
Cu (0.5022, 0.5022, 0.4560)  3 Fe 2.43-2.67, 1 Te 2.49
Fe (0.2551, 0.2551, 0.3037)  3 Cu 2.43-2.67, 3 Te 2.69

Values from the calculation:
mass density = 6.85 g cm⁻³
magnetic moment = 2.67 Bohr magnetons per cell
E_form (uncorrected) = 0.0915 eV per atom
DOS(E_F) = 2.9 states/eV per cell

Density functional theory data (PBE) for a geometry-optimized FeCuTe2 structure.

a b c (Å): 3.5397 3.5397 7.5074
angles (deg): 90.00 90.00 90.00
Last column: nearest neighbours and their distance in Å.
Positions (direct):
Cu (0.0000, 0.0000, 0.5278)  5 Te 2.61-2.75, 4 Fe 2.89
Te (0.0000, 0.0000, 0.8756)  1 Cu 2.61, 4 Fe 2.76
Te (0.5000, 0.5000, 0.3765)  1 Fe 2.58, 4 Cu 2.75
Fe (0.5000, 0.5000, 0.7201)  5 Te 2.58-2.76

Values from the calculation:
mass density = 6.61 g cm⁻³
magnetic moment = 3.07 Bohr magnetons per cell
E_form (uncorrected) = 0.1149 eV per atom
DOS(E_F) = 3.6 states/eV per cell

Density functional theory data (PBE) for a geometry-optimized FeCuTe2 structure.

a b c (Å): 5.0797 5.0797 5.0797
angles (deg): 133.70 116.91 81.75
Last column: nearest neighbours and their distance in Å.
Positions (direct):
Te (0.5210, 0.5210, 0.0000)  2 Cu 2.66, 2 Fe 2.88
Te (0.9790, 0.9790, 0.0000)  2 Cu 2.66, 2 Fe 2.88
Fe (0.2500, 0.7500, 0.5000)  8 Te 2.88-3.19
Cu (0.7500, 0.2500, 0.5000)  4 Te 2.66

Values from the calculation:
mass density = 7.63 g cm⁻³
magnetic moment = 2.86 Bohr magnetons per cell
E_form (uncorrected) = 0.4552 eV per atom
DOS(E_F) = 3.0 states/eV per cell

Density functional theory data (PBE) for a geometry-optimized FeCu3Te structure.

a b c (Å): 4.5158 4.5158 4.5158
angles (deg): 90.00 90.00 90.00
Last column: nearest neighbours and their distance in Å.
Positions (direct):
Cu (0.0000, 0.5000, 0.0000)  2 Fe 2.26
Cu (0.5000, 0.0000, 0.0000)  2 Fe 2.26
Cu (0.0000, 0.0000, 0.5000)  2 Fe 2.26
Fe (0.0000, 0.0000, 0.0000)  6 Cu 2.26
Te (0.5000, 0.5000, 0.5000)  12 Cu 3.19

Values from the calculation:
mass density = 6.75 g cm⁻³
offset from the most stable computed form = 0.000 eV/atom
magnetic moment = 2.92 Bohr magnetons per cell
E_form (uncorrected) = 0.8598 eV per atom
DOS(E_F) = 4.1 states/eV per cell

Density functional theory data (PBE) for a geometry-optimized FeCuTe2 structure.

a b c (Å): 3.9018 3.9018 6.5011
angles (deg): 90.00 90.00 90.00
Last column: nearest neighbours and their distance in Å.
Positions (direct):
Cu (0.5000, 0.5000, 0.0000)  4 Te 2.60, 4 Fe 2.76
Te (0.0000, 0.5000, 0.2651)  2 Cu 2.60, 2 Fe 2.60
Te (0.5000, 0.0000, 0.7349)  2 Cu 2.60, 2 Fe 2.60
Fe (0.0000, 0.0000, 0.0000)  4 Te 2.60, 4 Cu 2.76

Values from the calculation:
mass density = 6.28 g cm⁻³
magnetic moment = 3.07 Bohr magnetons per cell
E_form (uncorrected) = -0.0186 eV per atom
DOS(E_F) = 4.0 states/eV per cell

Density functional theory data (PBE) for a geometry-optimized FeCuTe2 structure.

a b c (Å): 4.7415 4.3951 4.3954
angles (deg): 72.99 90.00 90.00
Last column: nearest neighbours and their distance in Å.
Positions (direct):
Cu (0.0000, 0.5275, 0.5271)  5 Te 2.61-2.77, 2 Fe 2.75
Te (0.5000, 0.3503, 0.3502)  3 Fe 2.65-2.76, 2 Cu 2.68
Te (0.0000, 0.8967, 0.8968)  3 Cu 2.61-2.77, 2 Fe 2.66
Fe (0.5000, 0.7256, 0.7258)  5 Te 2.65-2.76, 2 Cu 2.75

Values from the calculation:
mass density = 7.10 g cm⁻³
magnetic moment = 2.83 Bohr magnetons per cell
E_form (uncorrected) = 0.1154 eV per atom
DOS(E_F) = 4.9 states/eV per cell

Density functional theory data (PBE) for a geometry-optimized FeCuTe2 structure.

a b c (Å): 3.6815 3.1113 7.8610
angles (deg): 71.01 90.00 90.00
Last column: nearest neighbours and their distance in Å.
Positions (direct):
Cu (0.5000, 0.2500, 0.2500)  4 Te 2.72
Te (0.0000, 0.2155, 0.5093)  2 Fe 2.70, 2 Cu 2.72
Te (0.0000, 0.2845, 0.9907)  2 Fe 2.70, 2 Cu 2.72
Fe (0.5000, 0.7500, 0.7500)  4 Te 2.70

Values from the calculation:
mass density = 7.31 g cm⁻³
magnetic moment = 2.92 Bohr magnetons per cell
E_form (uncorrected) = 0.3423 eV per atom
DOS(E_F) = 3.0 states/eV per cell

Density functional theory data (PBE) for a geometry-optimized FeCuTe2 structure.

a b c (Å): 7.9926 7.9926 7.9926
angles (deg): 27.21 27.21 27.21
Last column: nearest neighbours and their distance in Å.
Positions (direct):
Cu (0.0000, 0.0000, 0.0000)  2 Te 2.48
Te (0.1075, 0.1075, 0.1075)  1 Cu 2.48, 3 Fe 2.56
Te (0.8925, 0.8925, 0.8925)  1 Cu 2.48, 3 Fe 2.56
Fe (0.5000, 0.5000, 0.5000)  6 Te 2.56

Values from the calculation:
mass density = 6.61 g cm⁻³
magnetic moment = 0.53 Bohr magnetons per cell
E_form (uncorrected) = 0.1393 eV per atom
DOS(E_F) = 3.8 states/eV per cell

Density functional theory data (PBE) for a geometry-optimized FeCuTe2 structure.

a b c (Å): 4.9198 4.9198 4.9198
angles (deg): 60.00 60.00 60.00
Last column: nearest neighbours and their distance in Å.
Positions (direct):
Cu (0.5000, 0.5000, 0.5000)  4 Fe 3.01, 4 Te 3.01
Te (0.2500, 0.2500, 0.2500)  4 Cu 3.01, 4 Te 3.01
Te (0.0000, 0.0000, 0.0000)  4 Te 3.01, 4 Fe 3.01
Fe (0.7500, 0.7500, 0.7500)  4 Te 3.01, 4 Cu 3.01

Values from the calculation:
mass density = 7.39 g cm⁻³
magnetic moment = 3.21 Bohr magnetons per cell
E_form (uncorrected) = 0.7975 eV per atom
DOS(E_F) = 5.7 states/eV per cell

Density functional theory data (PBE) for a geometry-optimized FeCuTe2 structure.

a b c (Å): 5.5968 4.9208 4.1810
angles (deg): 72.36 77.64 118.54
Last column: nearest neighbours and their distance in Å.
Positions (direct):
Cu (0.0000, 0.5000, 0.5000)  4 Te 2.70
Fe (0.5000, 0.5000, 0.0000)  4 Te 2.70
Te (0.0000, 0.0000, 0.0000)  2 Fe 2.70, 2 Cu 2.70
Te (0.5000, 0.0000, 0.5000)  2 Cu 2.70, 2 Fe 2.70

Values from the calculation:
mass density = 7.14 g cm⁻³
magnetic moment = 2.99 Bohr magnetons per cell
E_form (uncorrected) = 0.4099 eV per atom
DOS(E_F) = 4.8 states/eV per cell

Density functional theory data (PBE) for a geometry-optimized FeCuTe2 structure.

a b c (Å): 3.3766 3.3778 6.8078
angles (deg): 90.00 90.00 90.00
Last column: nearest neighbours and their distance in Å.
Positions (direct):
Cu (0.5000, 0.5000, 0.2500)  8 Te 2.99
Te (0.0000, 0.0000, 0.5133)  4 Fe 2.88, 4 Cu 2.99, 1 Te 3.22
Te (0.0000, 0.0000, 0.9867)  4 Fe 2.88, 4 Cu 2.99, 1 Te 3.22
Fe (0.5000, 0.5000, 0.7500)  8 Te 2.88

Values from the calculation:
mass density = 8.01 g cm⁻³
magnetic moment = 2.55 Bohr magnetons per cell
E_form (uncorrected) = 0.4074 eV per atom
DOS(E_F) = 2.5 states/eV per cell

Density functional theory data (PBE) for a geometry-optimized FeCuTe2 structure.

a b c (Å): 4.6838 4.6838 4.6838
angles (deg): 60.00 60.00 60.00
Last column: nearest neighbours and their distance in Å.
Positions (direct):
Cu (0.5000, 0.5000, 0.5000)  8 Te 2.87
Te (0.7500, 0.7500, 0.7500)  4 Cu 2.87, 4 Fe 2.87
Te (0.2500, 0.2500, 0.2500)  4 Fe 2.87, 4 Cu 2.87
Fe (0.0000, 0.0000, 0.0000)  8 Te 2.87

Values from the calculation:
mass density = 8.56 g cm⁻³
magnetic moment = 0.00 Bohr magnetons per cell
E_form (uncorrected) = 0.4870 eV per atom
DOS(E_F) = 3.0 states/eV per cell